(1)
The following is a DFT calculation (PBE) of crystalline Ba2AcAg at its relaxed geometry.

Cell: 4.307 4.307 11.843 Å, 79.45 79.45 59.93°
Fractional positions:
Ba (0.266, 0.266, 0.202)
Ba (0.068, 0.068, 0.798)
Ag (0.667, 0.667, 0.999)
Ac (0.499, 0.499, 0.501)

Properties
space group: Cm, No. 8
density: 5.45 Mg/m³


(2)
The following is a DFT calculation (PBE) of crystalline Ba2AcAg at its relaxed geometry.

Cell: 4.185 4.185 12.848 Å, 80.63 80.63 60.00°
Each line ends with the local moment (μB).
Fractional positions:
Ba (0.894, 0.894, 0.317)  0.01
Ba (0.106, 0.106, 0.683)  0.01
Ag (0.500, 0.500, 0.500)  0.00
Ac (0.000, 0.000, 0.000)  0.06

Properties
space group: R-3m, No. 166
density: 5.29 Mg/m³


(3)
The following is a DFT calculation (PBE) of crystalline Ba2AcAg at its relaxed geometry.

Cell: 4.352 6.362 6.362 Å, 90.00 90.00 90.00°
Fractional positions:
Ba (0.000, 0.500, 0.000)
Ba (0.000, 0.000, 0.500)
Ag (0.500, 0.000, 0.000)
Ac (0.500, 0.500, 0.500)

Properties
space group: P4/mmm, No. 123
density: 5.75 Mg/m³


Energy relative to the most stable one, in meV/atom: (1) 0; (2) 142; (3) 105


(1)
The following is a DFT calculation (PBE) of crystalline BaAcAg4 at its relaxed geometry.

Cell: 4.778 6.492 6.492 Å, 82.96 68.41 68.41°
Fractional positions:
Ag (0.736, 0.929, 0.600)
Ag (0.264, 0.071, 0.400)
Ag (0.264, 0.400, 0.071)
Ag (0.736, 0.600, 0.929)
Ba (0.500, 0.500, 0.500)
Ac (0.000, 0.000, 0.000)

Properties
space group: Immm, No. 71
density: 7.59 Mg/m³


(2)
The following is a DFT calculation (PBE) of crystalline BaAcAg4 at its relaxed geometry.

Cell: 6.057 6.057 6.057 Å, 60.00 60.00 60.00°
Fractional positions:
Ba (0.000, 0.000, 0.000)
Ag (0.625, 0.625, 0.125)
Ag (0.625, 0.125, 0.625)
Ag (0.125, 0.625, 0.625)
Ag (0.625, 0.625, 0.625)
Ac (0.250, 0.250, 0.250)

Properties
space group: F-43m, No. 216
density: 8.41 Mg/m³


Energy relative to the most stable one, in meV/atom: (1) 0; (2) 153


(1)
The following is a DFT calculation (PBE) of crystalline BaAcCdAg at its relaxed geometry.

Cell: 4.078 4.078 8.308 Å, 90.00 90.00 90.00°
Fractional positions:
Ba (0.500, 0.500, 0.101)
Cd (0.000, 0.000, 0.377)
Ac (0.500, 0.500, 0.620)
Ag (0.000, 0.000, 0.830)

Properties
space group: P4mm, No. 99
density: 7.02 Mg/m³


(2)
The following is a DFT calculation (PBE) of crystalline BaAcCdAg at its relaxed geometry.

Cell: 5.787 5.787 5.787 Å, 60.00 60.00 60.00°
Fractional positions:
Ac (0.500, 0.500, 0.500)
Ag (0.250, 0.250, 0.250)
Cd (0.750, 0.750, 0.750)
Ba (0.000, 0.000, 0.000)

Properties
space group: F-43m, No. 216
density: 7.08 Mg/m³


Energy relative to the most stable one, in meV/atom: (1) 0; (2) 45


(1)
The following is a DFT calculation (PBE) of crystalline AcAgBi at its relaxed geometry.

Cell: 4.823 7.981 6.818 Å, 52.13 110.71 90.00°
Fractional positions:
Bi (0.184, 0.851, 0.368)
Bi (0.816, 0.149, 0.632)
Ag (0.860, 0.694, 0.719)
Ag (0.140, 0.306, 0.281)
Ac (0.463, 0.288, 0.925)
Ac (0.537, 0.712, 0.075)

Properties
space group: C2/m, No. 12
density: 9.75 Mg/m³


(2)
The following is a DFT calculation (PBE) of crystalline AcAgBi at its relaxed geometry.

Cell: 4.575 4.874 4.874 Å, 120.00 90.00 90.00°
Fractional positions:
Ac (0.651, 0.333, 0.667)
Bi (0.128, 0.000, 0.000)
Ag (0.221, 0.667, 0.333)

Properties
space group: P3m1, No. 156
density: 9.60 Mg/m³


(3)
The following is a DFT calculation (PBE) of crystalline AcAgBi at its relaxed geometry.

Cell: 5.182 5.182 5.182 Å, 60.00 60.00 60.00°
Fractional positions:
Ac (0.000, 0.000, 0.000)
Ag (0.250, 0.250, 0.250)
Bi (0.500, 0.500, 0.500)

Properties
space group: F-43m, No. 216
density: 9.18 Mg/m³


Energy relative to the most stable one, in meV/atom: (1) 0; (2) 42; (3) 110


(1)
The following is a DFT calculation (PBE) of crystalline Ac2AgBi at its relaxed geometry.

Cell: 5.771 5.771 5.771 Å, 60.00 60.00 60.00°
Each line ends with the local moment (μB).
Fractional positions:
Ac (0.750, 0.750, 0.750)  0.07
Ac (0.250, 0.250, 0.250)  0.07
Ag (0.500, 0.500, 0.500)  0.01
Bi (0.000, 0.000, 0.000)  -0.01

Properties
space group: Fm-3m, No. 225
density: 9.42 Mg/m³


(2)
The following is a DFT calculation (PBE) of crystalline Ac2AgBi at its relaxed geometry.

Cell: 4.292 5.618 5.618 Å, 90.00 90.00 90.00°
Fractional positions:
Ac (0.000, 0.000, 0.500)
Ac (0.000, 0.500, 0.000)
Ag (0.500, 0.000, 0.000)
Bi (0.500, 0.500, 0.500)

Properties
space group: P4/mmm, No. 123
density: 9.45 Mg/m³


Energy relative to the most stable one, in meV/atom: (1) 48; (2) 0


(1)
The following is a DFT calculation (PBE) of crystalline Ac2AgBr at its relaxed geometry.

Cell: 4.685 4.685 7.829 Å, 72.59 72.59 60.00°
Fractional positions:
Ac (0.254, 0.254, 0.239)
Ac (0.746, 0.746, 0.761)
Br (0.500, 0.500, 0.500)
Ag (0.000, 0.000, 0.000)

Properties
space group: R-3m, No. 166
density: 7.63 Mg/m³


(2)
The following is a DFT calculation (PBE) of crystalline Ac2AgBr at its relaxed geometry.

Cell: 4.557 4.557 8.455 Å, 74.36 74.36 60.00°
Fractional positions:
Ac (0.074, 0.074, 0.778)
Ac (0.260, 0.260, 0.219)
Ag (0.667, 0.667, 0.998)
Br (0.498, 0.498, 0.505)

Properties
space group: R3m, No. 160
density: 7.37 Mg/m³


(3)
The following is a DFT calculation (PBE) of crystalline Ac2AgBr at its relaxed geometry.

Cell: 3.794 3.794 8.935 Å, 90.00 90.00 90.00°
Fractional positions:
Ag (0.500, 0.500, 0.000)
Ac (0.000, 0.000, 0.772)
Ac (0.000, 0.000, 0.228)
Br (0.500, 0.500, 0.500)

Properties
space group: P4/mmm, No. 123
density: 8.28 Mg/m³


Energy relative to the most stable one, in meV/atom: (1) 0; (2) 42; (3) 78


(1)
The following is a DFT calculation (PBE) of crystalline Ca3AcAg at its relaxed geometry.

Cell: 5.831 5.831 5.831 Å, 90.00 90.00 90.00°
Fractional positions:
Ca (0.500, 0.000, 0.000)
Ca (0.000, 0.500, 0.000)
Ca (0.000, 0.000, 0.500)
Ac (0.500, 0.500, 0.500)
Ag (0.000, 0.000, 0.000)

Properties
space group: Pm-3m, No. 221
density: 3.81 Mg/m³


(2)
The following is a DFT calculation (PBE) of crystalline Ca3AcAg at its relaxed geometry.

Cell: 4.161 7.152 13.200 Å, 81.53 80.93 73.09°
Fractional positions:
Ca (0.461, 0.932, 0.146)
Ca (0.795, 0.028, 0.382)
Ca (0.417, 0.633, 0.532)
Ca (0.751, 0.743, 0.755)
Ca (0.100, 0.188, 0.612)
Ca (0.990, 0.117, 0.903)
Ag (0.430, 0.379, 0.760)
Ag (0.785, 0.281, 0.149)
Ac (0.228, 0.543, 0.000)
Ac (0.103, 0.493, 0.301)

Properties
space group: Cm, No. 8
density: 4.10 Mg/m³


(3)
The following is a DFT calculation (PBE) of crystalline Ca3AcAg at its relaxed geometry.

Cell: 8.166 8.166 7.825 Å, 101.22 117.04 112.21°
Fractional positions:
Ac (0.254, 0.967, 0.222)
Ac (0.746, 0.033, 0.778)
Ag (0.339, 0.279, 0.618)
Ag (0.661, 0.721, 0.382)
Ca (0.240, 0.497, 0.326)
Ca (0.310, 0.575, 0.884)
Ca (0.690, 0.425, 0.116)
Ca (0.760, 0.503, 0.674)
Ca (0.171, 0.913, 0.674)
Ca (0.829, 0.087, 0.326)

Properties
space group: C2/m, No. 12
density: 3.92 Mg/m³


Energy relative to the most stable one, in meV/atom: (1) 121; (2) 0; (3) 57


(1)
The following is a DFT calculation (PBE) of crystalline CaAcAg at its relaxed geometry.

Cell: 3.968 5.380 5.380 Å, 120.00 90.00 90.00°
Fractional positions:
Ag (0.495, 0.333, 0.667)
Ca (0.504, 0.667, 0.333)
Ac (0.002, 0.000, 0.000)

Properties
space group: P3m1, No. 156
density: 6.26 Mg/m³


(2)
The following is a DFT calculation (PBE) of crystalline CaAcAg at its relaxed geometry.

Cell: 3.865 3.865 7.294 Å, 105.36 105.36 90.00°
Fractional positions:
Ag (0.660, 0.660, 0.320)
Ac (0.308, 0.308, 0.616)
Ca (0.032, 0.032, 0.064)

Properties
space group: I4mm, No. 107
density: 6.16 Mg/m³


(3)
The following is a DFT calculation (PBE) of crystalline CaAcAg at its relaxed geometry.

Cell: 3.920 5.794 9.158 Å, 90.00 102.36 90.00°
Fractional positions:
Ac (0.075, 0.750, 0.150)
Ac (0.925, 0.250, 0.850)
Ag (0.578, 0.250, 0.157)
Ag (0.422, 0.750, 0.843)
Ca (0.218, 0.250, 0.436)
Ca (0.782, 0.750, 0.564)

Properties
space group: Cmcm, No. 63
density: 6.13 Mg/m³


Energy relative to the most stable one, in meV/atom: (1) 127; (2) 0; (3) 7


(1)
The following is a DFT calculation (PBE) of crystalline CaAcAg at its relaxed geometry.

Cell: 5.371 5.371 5.371 Å, 60.00 60.00 60.00°
Fractional positions:
Ca (0.500, 0.500, 0.500)
Ac (0.000, 0.000, 0.000)
Ag (0.250, 0.250, 0.250)

Properties
space group: F-43m, No. 216
density: 5.68 Mg/m³


(2)
The following is a DFT calculation (PBE) of crystalline CaAcAg at its relaxed geometry.

Cell: 5.511 5.429 7.341 Å, 111.73 90.00 90.00°
Fractional positions:
Ac (0.752, 0.893, 0.780)
Ac (0.252, 0.115, 0.223)
Ag (0.252, 0.758, 0.510)
Ag (0.752, 0.250, 0.493)
Ca (0.752, 0.619, 0.232)
Ca (0.252, 0.389, 0.772)

Properties
space group: Cmcm, No. 63
density: 6.10 Mg/m³


Energy relative to the most stable one, in meV/atom: (1) 115; (2) 0


(1)
The following is a DFT calculation (PBE) of crystalline CaAcAg4 at its relaxed geometry.

Cell: 6.114 6.114 4.844 Å, 66.58 66.59 85.19°
Fractional positions:
Ag (0.641, 0.962, 0.196)
Ag (0.866, 0.533, 0.298)
Ag (0.466, 0.132, 0.698)
Ag (0.036, 0.358, 0.801)
Ac (0.456, 0.542, 0.998)
Ca (0.042, 0.956, 0.498)

Properties
space group: C2, No. 5
density: 7.64 Mg/m³


(2)
The following is a DFT calculation (PBE) of crystalline CaAcAg4 at its relaxed geometry.

Cell: 4.306 4.306 9.281 Å, 103.41 103.41 90.00°
Fractional positions:
Ag (0.827, 0.327, 0.654)
Ag (0.673, 0.173, 0.346)
Ag (0.580, 0.580, 0.160)
Ag (0.420, 0.420, 0.840)
Ca (0.250, 0.750, 0.500)
Ac (0.000, 0.000, 0.000)

Properties
space group: I-4m2, No. 119
density: 7.14 Mg/m³


Energy relative to the most stable one, in meV/atom: (1) 0; (2) 64


(1)
The following is a DFT calculation (PBE) of crystalline Ca2AcAg6 at its relaxed geometry.

Cell: 3.760 8.355 8.355 Å, 120.00 90.00 90.00°
Fractional positions:
Ca (0.000, 0.667, 0.333)
Ca (0.000, 0.333, 0.667)
Ag (0.500, 0.664, 0.000)
Ag (0.500, 0.664, 0.664)
Ag (0.500, 0.000, 0.336)
Ag (0.500, 0.336, 0.336)
Ag (0.500, 0.336, 0.000)
Ag (0.500, 0.000, 0.664)
Ac (0.000, 0.000, 0.000)

Properties
space group: P6/mmm, No. 191
density: 6.97 Mg/m³


(2)
The following is a DFT calculation (PBE) of crystalline Ca2AcAg6 at its relaxed geometry.

Cell: 3.855 8.551 8.551 Å, 56.79 76.97 76.97°
Fractional positions:
Ag (0.000, 0.826, 0.174)
Ag (0.822, 0.494, 0.862)
Ag (0.178, 0.506, 0.138)
Ag (0.178, 0.138, 0.506)
Ag (0.822, 0.862, 0.494)
Ag (0.000, 0.174, 0.826)
Ca (0.361, 0.139, 0.139)
Ca (0.639, 0.861, 0.861)
Ac (0.500, 0.500, 0.500)

Properties
space group: Immm, No. 71
density: 6.95 Mg/m³


Energy relative to the most stable one, in meV/atom: (1) 0; (2) 50


(1)
The following is a DFT calculation (PBE) of crystalline CaAcCuAg at its relaxed geometry.

Cell: 5.345 5.345 5.345 Å, 60.00 60.00 60.00°
Fractional positions:
Ac (0.500, 0.500, 0.500)
Cu (0.250, 0.250, 0.250)
Ca (0.000, 0.000, 0.000)
Ag (0.750, 0.750, 0.750)

Properties
space group: F-43m, No. 216
density: 6.74 Mg/m³


(2)
The following is a DFT calculation (PBE) of crystalline CaAcCuAg at its relaxed geometry.

Cell: 4.211 4.525 6.293 Å, 90.00 109.55 90.00°
Fractional positions:
Ag (0.573, 0.500, 0.146)
Cu (0.432, 0.000, 0.865)
Ac (0.858, 0.500, 0.717)
Ca (0.137, 0.000, 0.273)

Properties
space group: Amm2, No. 38
density: 6.44 Mg/m³


Energy relative to the most stable one, in meV/atom: (1) 27; (2) 0